1.
Dy3TmPb2C2 | GGA-PBE | relaxed

Calculated total energy = -0.4424 Ry per atom
Symmetry = P3m1

a b c (Å): 3.622 3.622 16.073
angles (deg): 90.00 90.00 120.00
Positions (direct):
C  0.333  0.667  0.500
C  0.333  0.667  0.998
Dy  0.667  0.333  0.082
Dy  0.667  0.333  0.417
Dy  0.000  0.000  0.583
Pb  0.000  0.000  0.249
Pb  0.667  0.333  0.752
Tm  0.000  0.000  0.918

=====

2.
ScBeCd | GGA-PBE | relaxed

Energy above the lowest structure with this stoichiometry = 262 meV/atom
Symmetry = F-43m

a b c (Å): 4.524 4.524 4.524
angles (deg): 60.00 60.00 60.00
Positions (direct):
Be  0.250  0.250  0.250
Cd  0.750  0.750  0.750
Sc  0.000  0.000  0.000

=====

3.
Li4Ga2HgPd | GGA-PBE | relaxed

Calculated total energy = -0.2086 Ry per atom
Symmetry = P-4m2

a b c (Å): 4.373 4.373 6.397
angles (deg): 90.00 90.00 90.00
Positions (direct):
Ga  0.500  0.000  0.220
Ga  0.000  0.500  0.780
Hg  0.000  0.000  0.500
Li  0.000  0.000  0.000
Li  0.000  0.500  0.237
Li  0.500  0.500  0.500
Li  0.500  0.000  0.763
Pd  0.500  0.500  0.000

=====

4.
TaAgHg2 | GGA-PBE | relaxed

Formation energy from the elements = 0.633 eV/atom
Symmetry = F-43m

a b c (Å): 4.801 4.801 4.801
angles (deg): 60.00 60.00 60.00
Positions (direct):
Ag  0.500  0.500  0.500
Hg  0.000  0.000  0.000
Hg  0.250  0.250  0.250
Ta  0.750  0.750  0.750

=====

5.
Be2NbIr | GGA-PBE | relaxed

Calculated total energy = -0.5074 Ry per atom
Symmetry = F-43m

a b c (Å): 4.188 4.188 4.188
angles (deg): 60.00 60.00 60.00
Positions (direct):
Be  0.000  0.000  0.000
Be  0.250  0.250  0.250
Ir  0.500  0.500  0.500
Nb  0.750  0.750  0.750

=====

6.
NiSn2Pd | GGA-PBE | relaxed

Energy above the lowest structure with this stoichiometry = 0 meV/atom
Symmetry = Cmcm

a b c (Å): 9.864 9.864 4.842
angles (deg): 90.00 90.00 161.71
Positions (direct):
Ni  0.327  0.673  0.250
Ni  0.673  0.327  0.750
Pd  0.094  0.906  0.250
Pd  0.906  0.094  0.750
Sn  0.715  0.285  0.250
Sn  0.454  0.546  0.250
Sn  0.546  0.454  0.750
Sn  0.285  0.715  0.750

=====

7.
TlMo4PN2 | GGA-PBE | relaxed

Calculated total energy = -0.6214 Ry per atom
Symmetry = P-6m2

a b c (Å): 3.050 3.050 13.449
angles (deg): 90.00 90.00 120.00
Positions (direct):
Mo  0.667  0.333  0.129
Mo  0.000  0.000  0.318
Mo  0.000  0.000  0.682
Mo  0.667  0.333  0.871
N  0.333  0.667  0.230
N  0.333  0.667  0.770
P  0.000  0.000  0.000
Tl  0.667  0.333  0.500

=====

8.
HfCdIr2 | GGA-PBE | relaxed

Formation energy from the elements = -0.032 eV/atom
Symmetry = F-43m

a b c (Å): 4.604 4.604 4.604
angles (deg): 60.00 60.00 60.00
Positions (direct):
Cd  0.750  0.750  0.750
Hf  0.000  0.000  0.000
Ir  0.250  0.250  0.250
Ir  0.500  0.500  0.500

=====

9.
Re2Au | GGA-PBE | relaxed

Energy above the lowest structure with this stoichiometry = 0 meV/atom
Formation energy from the elements = 0.753 eV/atom
Symmetry = Fd-3m

a b c (Å): 5.211 5.211 5.211
angles (deg): 60.00 60.00 60.00
Positions (direct):
Au  0.000  0.000  0.000
Au  0.250  0.250  0.250
Re  0.625  0.625  0.125
Re  0.625  0.125  0.625
Re  0.125  0.625  0.625
Re  0.625  0.625  0.625

=====

10.
Dy4ErZn5 | GGA-PBE | relaxed

Formation energy from the elements = -0.346 eV/atom
Symmetry = P4/mmm

a b c (Å): 3.555 3.555 17.761
angles (deg): 90.00 90.00 90.00
Last column: magnetic moment on the atom in μB.
Positions (direct):
Dy  0.000  0.000  0.199  0.13
Dy  0.000  0.000  0.400  0.07
Dy  0.000  0.000  0.600  0.07
Dy  0.000  0.000  0.801  0.13
Er  0.000  0.000  0.000  0.10
Zn  0.500  0.500  0.098  0.01
Zn  0.500  0.500  0.300  0.01
Zn  0.500  0.500  0.500  0.01
Zn  0.500  0.500  0.700  0.01
Zn  0.500  0.500  0.902  0.01

=====

11.
LiNbAsO | GGA-PBE | relaxed

Energy above the lowest structure with this stoichiometry = 207 meV/atom
Symmetry = P4/nmm

a b c (Å): 3.528 3.528 8.754
angles (deg): 90.00 90.00 90.00
Last column: magnetic moment on the atom in μB.
Positions (direct):
As  0.000  0.500  0.292  -0.02
As  0.500  0.000  0.708  -0.02
Li  0.000  0.000  0.500  0.00
Li  0.500  0.500  0.500  0.00
Nb  0.500  0.000  0.143  0.70
Nb  0.000  0.500  0.857  0.70
O  0.000  0.000  0.000  0.01
O  0.500  0.500  0.000  0.01

=====

12.
CdNiHgPb | GGA-PBE | relaxed

Calculated total energy = -0.1697 Ry per atom
Symmetry = F-43m

a b c (Å): 4.938 4.938 4.938
angles (deg): 60.00 60.00 60.00
Positions (direct):
Cd  0.500  0.500  0.500
Hg  0.250  0.250  0.250
Ni  0.750  0.750  0.750
Pb  0.000  0.000  0.000

=====

13.
NaTcPO | GGA-PBE | relaxed

Energy above the lowest structure with this stoichiometry = 129 meV/atom
Symmetry = Pmc2_1

a b c (Å): 3.175 6.094 7.098
angles (deg): 90.00 90.00 90.00
Positions (direct):
Na  0.500  0.308  0.083
Na  0.500  0.692  0.583
O  0.500  0.367  0.415
O  0.500  0.633  0.915
P  0.000  0.911  0.279
P  0.000  0.089  0.779
Tc  0.000  0.189  0.477
Tc  0.000  0.811  0.977